Na2CdInF | PBE | optimized geometry

Results
Formation energy from raw total energies   -941 meV per atom
V   117 Å³/cell

abc: 4.483 4.483 5.800
angles: 90.00 90.00 90.00
Sites, in units of the cell vectors:
1 Na 0.000 0.500 0.000
2 Na 0.500 0.000 0.000
3 Cd 0.000 0.000 0.500
4 In 0.500 0.500 0.500
5 F 0.500 0.500 0.000